A plane-wave DFT calculation with PBE was carried out for a geometry-optimized AgTeSe2Cl structure.

Cell lengths 7.1453, 4.1030, 11.0587 Å; angles 90.00, 102.14, 90.00 degrees
Closest atoms and distances in Å follow each position.
Space group P2_1/m (No. 11)
Symmetry-distinct sites (fractional):
1 Ag 0.0920 0.2500 0.3568 x2  1 Cl 2.51, 2 Se 2.63
2 Te 0.3898 0.2500 0.8217 x2  3 Se 2.60-2.71
3 Se 0.1271 0.2500 0.6199 x2  1 Te 2.60, 3 Ag 2.63-2.87
4 Se 0.2414 0.7500 0.9310 x2  2 Te 2.71
5 Cl 0.4053 0.2500 0.2877 x2  1 Ag 2.51

Calculated values
For the uncorrected formation energy, the calculation gives -0.143 eV/atom. For the total energy, the calculation gives -31.05 eV for the cell shown. Its crystal system is monoclinic.

***

A plane-wave DFT calculation with PBE was carried out for a geometry-optimized ScTc2Sb structure.

Cell lengths 9.3271, 3.2995, 4.8589 Å; angles 90.00, 108.21, 90.00 degrees
Closest atoms and distances in Å follow each position.
Space group C2/m (No. 12)
Symmetry-distinct sites (fractional):
1 Sc 0.0000 0.0000 0.0000 x2  6 Tc 2.90-2.98, 4 Sb 2.94
2 Tc 0.2398 0.0000 0.7139 x4  2 Tc 2.71, 3 Sb 2.71-2.92, 3 Sc 2.90-2.98
3 Sb 0.0000 0.5000 0.5000 x2  6 Tc 2.71-2.92, 4 Sc 2.94

Calculated values
For the uncorrected formation energy, the calculation gives -0.025 eV/atom. For the total energy, the calculation gives -62.57 eV for the cell shown. Its crystal system is monoclinic.

***

A plane-wave DFT calculation with PBE was carried out for a geometry-optimized Li8Sn2Bi structure.

Cell lengths 15.4920, 4.6400, 6.6297 Å; angles 90.00, 115.24, 90.00 degrees
Closest atoms and distances in Å follow each position.
Space group C2/m (No. 12)
Symmetry-distinct sites (fractional):
1 Li 0.0003 0.0000 0.2191 x4  7 Li 2.90-3.17, 2 Sn 2.98, 2 Bi 2.98
2 Li 0.1531 0.5000 0.9247 x4  1 Bi 2.80, 3 Sn 2.81-2.88, 4 Li 2.91-3.04
3 Li 0.1543 0.5000 0.3838 x4  1 Bi 2.81, 3 Sn 2.81-2.88, 4 Li 2.90-3.04
4 Li 0.1694 0.0000 0.6706 x4  8 Li 2.90-3.02, 2 Sn 3.08
5 Sn 0.1858 0.0000 0.1852 x4  10 Li 2.81-3.08
6 Bi 0.0000 0.5000 0.5000 x2  8 Li 2.80-2.98

Calculated values
Its energy of formation from the pure elements is -373 meV/atom. For the total energy, the calculation gives -62.60 eV for the cell shown. Its crystal system is monoclinic.

***

A plane-wave DFT calculation with PBE was carried out for a geometry-optimized Rb2LaTeF6 structure.

Cell lengths 6.6767, 6.6767, 11.7449 Å; angles 90.00, 90.00, 90.00 degrees
Closest atoms and distances in Å follow each position.
Space group I4/mmm (No. 139)
Symmetry-distinct sites (fractional):
1 Rb 0.0000 0.5000 0.2500 x4  12 F 3.40-3.77
2 La 0.0000 0.0000 0.0000 x2  6 F 2.29-2.32
3 Te 0.0000 0.0000 0.5000 x2  4 F 2.40
4 F 0.0000 0.0000 0.1949 x4  1 La 2.29
5 F 0.2458 0.2458 0.0000 x8  1 La 2.32, 1 Te 2.40

Calculated values
For the uncorrected formation energy, the calculation gives -2.684 eV/atom. For the total energy, the calculation gives -96.15 eV for the cell shown. Its crystal system is tetragonal.

***

A plane-wave DFT calculation with PBE was carried out for a geometry-optimized Sr2Sc structure.

Cell lengths 10.5417, 10.5417, 3.9353 Å; angles 90.00, 90.00, 120.00 degrees
Closest atoms and distances in Å follow each position.
Space group P-62m (No. 189)
Symmetry-distinct sites (fractional):
1 Sr 0.0000 0.2944 0.0000 x3  4 Sc 3.67-3.74, 8 Sr 3.94-4.09
2 Sr 0.0000 0.6284 0.5000 x3  5 Sc 3.87-3.92, 8 Sr 3.94-4.09
3 Sc 0.0000 0.0000 0.5000 x1  9 Sr 3.67-3.92, 2 Sc 3.94
4 Sc 0.3333 0.6667 0.0000 x2  9 Sr 3.74-3.87, 2 Sc 3.94

Calculated values
Its energy of formation from the pure elements is 341 meV/atom. The energy above the most stable polymorph in this dataset is 126 meV/atom. For the total energy, the calculation gives -26.02 eV for the cell shown. Its crystal system is hexagonal.

***

A plane-wave DFT calculation with PBE was carried out for a geometry-optimized Tb12Ni6Pd structure.

Cell lengths 9.6490, 9.6490, 9.6490 Å; angles 90.00, 90.00, 90.00 degrees
Closest atoms and distances in Å follow each position.
Space group Im-3 (No. 204)
Symmetry-distinct sites (fractional):
1 Tb 0.0000 0.3009 0.1852 x24  3 Ni 2.65-2.89
2 Ni 0.0000 0.1257 0.5000 x12  1 Ni 2.43, 2 Tb 2.65
3 Pd 0.0000 0.0000 0.0000 x2  12 Tb 3.41

Calculated values
Its energy of formation from the pure elements is -349 meV/atom. The energy above the most stable polymorph in this dataset is 0 meV/atom. For the total energy, the calculation gives -204.17 eV for the cell shown. Its crystal system is cubic.

***

A plane-wave DFT calculation with PBE was carried out for a geometry-optimized Tb6NdDy2Sc3 structure.

Cell lengths 6.0752, 10.5165, 11.5038 Å; angles 90.00, 100.11, 90.00 degrees
Closest atoms and distances in Å follow each position.
Space group C2/m (No. 12)
Symmetry-distinct sites (fractional):
1 Tb 0.2462 0.1669 0.2398 x8  3 Sc 3.38-3.39, 6 Tb 3.50-3.51, 2 Dy 3.57-3.58, 1 Nd 3.58
2 Tb 0.2468 0.5000 0.2396 x4  3 Sc 3.38-3.39, 6 Tb 3.50-3.51, 2 Dy 3.58, 1 Nd 3.58
3 Nd 0.0000 0.5000 0.5000 x2  6 Dy 3.51, 6 Tb 3.58
4 Dy 0.0000 0.1665 0.5000 x4  3 Dy 3.50-3.51, 3 Nd 3.51, 6 Tb 3.57-3.58
5 Sc 0.0000 0.0000 0.0000 x2  6 Tb 3.38-3.39, 6 Sc 3.50-3.51
6 Sc 0.0000 0.3330 0.0000 x4  6 Tb 3.38-3.39, 6 Sc 3.50-3.51

Calculated values
Its energy of formation from the pure elements is 44 meV/atom. For the total energy, the calculation gives -120.43 eV for the cell shown. Its crystal system is monoclinic.

***

A plane-wave DFT calculation with PBE was carried out for a geometry-optimized NaBe2AlO4 structure.

Cell lengths 4.2952, 4.2952, 8.1398 Å; angles 90.00, 90.00, 90.00 degrees
Closest atoms and distances in Å follow each position.
Space group I-42m (No. 121)
Symmetry-distinct sites (fractional):
1 Na 0.0000 0.0000 0.0000 x2  4 O 2.10
2 Be 0.0000 0.5000 0.2500 x4  4 O 1.74
3 Al 0.0000 0.0000 0.5000 x2  4 O 1.79
4 O 0.2167 0.2167 0.6488 x8  2 Be 1.74, 1 Al 1.79

Calculated values
For the uncorrected formation energy, the calculation gives -2.410 eV/atom. For the total energy, the calculation gives -103.26 eV for the cell shown. Its crystal system is tetragonal.

***

A plane-wave DFT calculation with PBE was carried out for a geometry-optimized Ti7Nb2Al3 structure.

Cell lengths 4.6983, 2.8056, 15.6575 Å; angles 90.00, 93.40, 90.00 degrees
Closest atoms and distances in Å follow each position.
Space group P2/m (No. 10)
Symmetry-distinct sites (fractional):
1 Ti 0.0000 0.0000 0.0000 x1  4 Ti 2.71-2.81, 4 Al 2.74
2 Ti 0.1926 0.5000 0.1903 x2  6 Ti 2.81-2.86, 2 Nb 2.81-2.89
3 Ti 0.2573 0.5000 0.5418 x2  1 Nb 2.57, 4 Ti 2.68-2.81
4 Ti 0.3147 0.0000 0.8602 x2  2 Al 2.70, 7 Ti 2.71-2.86, 2 Nb 2.79
5 Nb 0.2968 0.5000 0.7063 x2  4 Ti 2.57-2.81, 2 Nb 2.81
6 Al 0.2226 0.0000 0.3752 x2  2 Al 2.81, 6 Ti 2.96-3.04, 4 Nb 3.01-3.03
7 Al 0.5000 0.5000 0.0000 x1  8 Ti 2.70-2.74, 2 Al 2.81

Calculated values
Its energy of formation from the pure elements is -51 meV/atom. For the total energy, the calculation gives -87.24 eV for the cell shown. Its crystal system is monoclinic.

***

A plane-wave DFT calculation with PBE was carried out for a geometry-optimized Ac2NpCo2N6 structure.

Cell lengths 5.8914, 5.8914, 16.2947 Å; angles 90.00, 90.00, 120.00 degrees
Closest atoms and distances in Å follow each position.
Space group R-3m (No. 166, hexagonal axes)
Symmetry-distinct sites (fractional):
1 Ac 0.0000 0.0000 0.2254 x6  9 N 2.86-2.98
2 Np 0.0000 0.0000 0.0000 x3  6 N 2.12
3 Co 0.0000 0.0000 0.4301 x6  3 N 1.77
4 N 0.0109 0.5054 0.7485 x18  1 Co 1.77

Calculated values
For the uncorrected formation energy, the calculation gives -0.608 eV/atom. For the total energy, the calculation gives -276.03 eV for the cell shown. Its crystal system is trigonal.

***

A plane-wave DFT calculation with PBE was carried out for a geometry-optimized Lu2InGa structure.

Cell lengths 3.4342, 3.4342, 7.9300 Å; angles 90.00, 90.00, 90.00 degrees
Closest atoms and distances in Å follow each position.
Space group P4/mmm (No. 123)
Symmetry-distinct sites (fractional):
1 Lu 0.0000 0.0000 0.2302 x2  4 Ga 3.04, 4 In 3.24
2 In 0.5000 0.5000 0.5000 x1  8 Lu 3.24, 4 In 3.43
3 Ga 0.5000 0.5000 0.0000 x1  8 Lu 3.04

Calculated values
Its energy of formation from the pure elements is -470 meV/atom. The energy above the most stable polymorph in this dataset is 0 meV/atom. For the total energy, the calculation gives -16.69 eV for the cell shown. Its crystal system is tetragonal.

***

A plane-wave DFT calculation with PBE was carried out for a geometry-optimized Ce4CdIn3 structure.

Cell lengths 4.6640, 4.6640, 19.3762 Å; angles 90.00, 90.00, 90.00 degrees
Closest atoms and distances in Å follow each position.
Space group I4/mmm (No. 139)
Symmetry-distinct sites (fractional):
1 Ce 0.0000 0.5000 0.1251 x8  4 Ce 3.30, 6 In 3.36, 2 Cd 3.36
2 Cd 0.0000 0.0000 0.0000 x2  4 In 3.30, 8 Ce 3.36
3 In 0.0000 0.0000 0.2501 x4  4 In 3.30, 8 Ce 3.36
4 In 0.0000 0.0000 0.5000 x2  4 Cd 3.30, 8 Ce 3.36

Calculated values
Its energy of formation from the pure elements is -317 meV/atom. For the total energy, the calculation gives -70.80 eV for the cell shown. Its crystal system is tetragonal.